# 1
Entry from the Alexandria database: crystalline NdLuZn at its relaxed geometry (PBE).

Output
symmetry: P3m1, No. 156
calculated formation energy: -55 meV per atom
offset from the most stable computed form: 144.2 meV/atom

POSCAR file:
```
NdLuZn
1.0
4.963 0.000 0.000
-2.481 4.298 0.000
0.000 0.000 3.801
Nd Lu Zn
1 1 1
Direct
0.000 0.000 0.000 Nd
0.333 0.667 0.498 Lu
0.667 0.333 0.514 Zn
```


# 2
Entry from the Alexandria database: crystalline Ce4Si2Pb at its relaxed geometry (PBE).

Output
symmetry: R-3m, No. 166
raw formation energy: -0.33 eV/atom

POSCAR file:
```
Ce4Si2Pb
1.0
2.175 1.256 11.819
-2.175 1.256 11.819
0.000 -2.512 11.819
Ce Si Pb
4 2 1
Direct
0.110 0.110 0.110 Ce
0.311 0.311 0.311 Ce
0.689 0.689 0.689 Ce
0.890 0.890 0.890 Ce
0.399 0.399 0.399 Si
0.601 0.601 0.601 Si
0.500 0.500 0.500 Pb
```


# 3
Entry from the Alexandria database: crystalline Ag2RuAu at its relaxed geometry (PBE).

Output
symmetry: Pm, No. 6
calculated formation energy: 364 meV per atom
offset from the most stable computed form: 67.1 meV/atom

POSCAR file:
```
Ag2RuAu
1.0
2.777 0.000 0.000
0.000 4.118 0.000
-0.032 0.000 5.937
Ag Ru Au
2 1 1
Direct
0.000 0.000 0.000 Ag
0.500 0.500 0.250 Ag
0.000 0.000 0.502 Ru
0.501 0.500 0.731 Au
```


Asked for raw total energy across the records above, the calculation gives -10.73, -40.60, -16.80 eV per formula unit in order.